Material: Sm2Dy7Tm2
Method: DFT, PBE-GGA
State: optimized geometry

abc: 9.3139 9.3139 9.3139
angles: 145.50 63.42 128.56
Atoms (fractional coordinates):
1 Sm 0.2015 0.0000 0.2015
2 Sm 0.7985 0.0000 0.7985
3 Dy 0.0709 0.7072 0.3637
4 Dy 0.2049 0.2049 0.0000
5 Dy 0.3383 0.4986 0.8398
6 Dy 0.3435 0.7072 0.6363
7 Dy 0.6570 0.2920 0.3650
8 Dy 0.6588 0.4986 0.1602
9 Dy 0.9271 0.2920 0.6350
10 Tm 0.4990 0.9990 0.5000
11 Tm 0.7873 0.7873 0.0000

Output
ΔE_f: 0.1170 eV/atom
space-group type: Imm2
energy above the lowest structure with this stoichiometry: 0 meV/atom
total magnetic moment: 0.0 Bohr magnetons per cell